A plane-wave DFT calculation with PBE was carried out for crystalline TaTl at its relaxed geometry.

a b c (Å): 4.500 4.500 5.563
angles (deg): 90.00 90.00 120.00
Fractional coordinates of all 4 atoms:
Ta (0.000, 0.000, 0.000)
Ta (0.000, 0.000, 0.500)
Tl (0.333, 0.667, 0.250)
Tl (0.667, 0.333, 0.750)

Calculated formation energy ... 1116 meV/atom
Space group ... P6_3/mmc
Offset from the most stable computed form ... 656.3 meV/atom